! TePbWO6 | the Alexandria database | PBE+U | relaxed; values from VASP
! E_tot in eV/atom: -6.33
! Space-group type: P-31c, No. 163
! Calculated volume in Å³ per cell: 283.6
&SYSTEM
  ibrav = 0, nat = 18, ntyp = 4
/
ATOMIC_SPECIES
Pb 207.20 Pb.upf
O 16.00 O.upf
Te 127.60 Te.upf
W 183.84 W.upf
CELL_PARAMETERS angstrom
-1.1514 1.7288 -5.1614
4.5727 -3.0180 0.9677
-5.4869 -8.8742 -1.7483
ATOMIC_POSITIONS angstrom
Pb 0.0000 0.0000 0.0000
Pb -2.7434 -4.4371 -0.8741
O -1.7990 -6.8564 -0.8932
O -1.7971 -9.4609 -1.0151
O -0.2666 -3.3069 -5.0488
O -1.1234 -0.7046 -2.2332
O -0.9422 -9.4588 -3.7088
O -1.3271 -6.6016 -3.6680
O -2.5548 -2.1204 -3.8898
O -0.7385 -3.5618 -2.2740
O 1.2613 -2.0358 -2.9599
O -0.2685 -0.7025 -4.9269
O 0.4892 -8.0429 -2.0522
O -3.3268 -8.1275 -2.9821
Te -3.3585 -6.5091 -4.4296
Te 1.2930 -3.6543 -1.5124
W -1.4505 -8.0913 -2.3865
W -0.6151 -2.0720 -3.5554